Entry 1:
Here is an optimized crystal structure of AlHgTe2 from Alexandria via LeMat-Bulk. Energies are from PBE.

Values from the calculation:
crystal system = tetragonal
uncorrected energy = -0.0910 Ha/atom
uncorrected formation energy = 41 kJ/mol of formula units

abc: 3.6963 3.6934 7.7921
angles: 90.00 90.00 90.00
Last column: nearest neighbours and their distance in Å.
Atoms (fractional coordinates):
Te1 0.0000 0.0000 0.0481  4 Al 3.05, 1 Te 3.15
Al1 0.5000 0.5000 0.2500  8 Te 3.05
Te2 0.0000 0.0000 0.4519  4 Al 3.05, 1 Te 3.15
Hg1 0.5000 0.5000 0.7500  8 Te 3.50, 4 Hg 3.69-3.70, 2 Al 3.90

Entry 2:
Here is an optimized crystal structure of AlHgTe2 from Alexandria via LeMat-Bulk. Energies are from PBE.

Values from the calculation:
crystal system = monoclinic
uncorrected energy = -0.1044 Ha/atom
uncorrected formation energy = -100 kJ/mol of formula units

abc: 6.6336 6.9797 6.9792
angles: 77.03 61.70 61.70
Last column: nearest neighbours and their distance in Å.
Atoms (fractional coordinates):
Te1 0.3145 0.6763 0.8459  2 Al 2.66
Al1 0.3956 0.6765 0.1840  4 Te 2.66
Hg1 0.1456 0.1766 0.6838  4 Te 3.23, 2 Hg 3.32
Te2 0.4769 0.0147 0.1837  2 Al 2.66
Te3 0.8143 0.3386 0.1841  2 Al 2.66
Te4 0.9766 0.6770 0.5221  2 Al 2.66
Hg2 0.6456 0.1767 0.6839  4 Te 3.23, 2 Hg 3.32
Al2 0.8956 0.6768 0.1838  4 Te 2.66

Entry 3:
Here is an optimized crystal structure of AlHg2Te from Alexandria via LeMat-Bulk. Energies are from PBE.

Values from the calculation:
crystal system = trigonal
uncorrected energy = -0.0616 Ha/atom
distance to the lowest polymorph of the same formula = 305 meV per atom
uncorrected formation energy = 76 kJ/mol of formula units

abc: 11.6946 11.6946 11.6946
angles: 15.62 15.62 15.62
Last column: nearest neighbours and their distance in Å.
Atoms (fractional coordinates):
Te1 0.2500 0.2500 0.2500  6 Te 3.18
Hg1 0.0118 0.0118 0.0118  3 Al 3.09, 6 Hg 3.18
Al1 0.7500 0.7500 0.7500  6 Hg 3.09, 6 Al 3.18
Hg2 0.4882 0.4882 0.4882  3 Al 3.09, 6 Hg 3.18

Entry 4:
Here is an optimized crystal structure of AlHg3Te from Alexandria via LeMat-Bulk. Energies are from PBE.

Values from the calculation:
crystal system = cubic
uncorrected energy = -0.0366 Ha/atom
distance to the lowest polymorph of the same formula = 356 meV per atom
uncorrected formation energy = 271 kJ/mol of formula units

abc: 5.7961 5.7961 5.7961
angles: 90.00 90.00 90.00
Last column: nearest neighbours and their distance in Å.
Atoms (fractional coordinates):
Hg1 0.0000 0.0000 0.5000  2 Te 2.90
Hg2 0.5000 0.0000 0.0000  2 Te 2.90
Te1 0.0000 0.0000 0.0000  6 Hg 2.90
Hg3 0.0000 0.5000 0.0000  2 Te 2.90
Al1 0.5000 0.5000 0.5000  12 Hg 4.10

Entry 5:
Here is an optimized crystal structure of AlHgTe from Alexandria via LeMat-Bulk. Energies are from PBE.

Values from the calculation:
crystal system = monoclinic
uncorrected energy = -0.0958 Ha/atom
distance to the lowest polymorph of the same formula = 0 meV per atom
uncorrected formation energy = -61 kJ/mol of formula units

abc: 10.1451 4.0916 10.4874
angles: 90.00 106.19 90.00
Last column: nearest neighbours and their distance in Å.
Atoms (fractional coordinates):
Al1 0.9697 0.0000 0.1113  1 Al 2.58, 3 Te 2.71-2.73
Hg1 0.4372 0.5000 0.6252  3 Hg 3.22-3.29
Hg2 0.5628 0.5000 0.3748  3 Hg 3.22-3.29
Al2 0.0303 0.5000 0.3887  1 Al 2.58, 3 Te 2.71-2.73
Te1 0.1830 0.0000 0.3379  3 Al 2.71-2.73
Te2 0.1830 0.5000 0.8379  3 Al 2.71-2.73
Al3 0.0303 0.0000 0.8887  1 Al 2.58, 3 Te 2.71-2.73
Al4 0.9697 0.5000 0.6113  1 Al 2.58, 3 Te 2.71-2.73
Hg3 0.4372 0.0000 0.1252  3 Hg 3.22-3.29
Te3 0.8170 0.5000 0.1621  3 Al 2.71-2.73
Te4 0.8170 0.0000 0.6621  3 Al 2.71-2.73
Hg4 0.5628 0.0000 0.8748  3 Hg 3.22-3.29

Entry 6:
Here is an optimized crystal structure of AlHgTe from Alexandria via LeMat-Bulk. Energies are from PBE.

Values from the calculation:
crystal system = monoclinic
uncorrected energy = -0.0916 Ha/atom
distance to the lowest polymorph of the same formula = 115 meV per atom
uncorrected formation energy = -28 kJ/mol of formula units

abc: 3.9356 8.8256 5.5722
angles: 89.96 90.00 63.49
Last column: nearest neighbours and their distance in Å.
Atoms (fractional coordinates):
Te1 0.4906 0.1508 0.6849  4 Al 2.84
Hg1 0.2410 0.9007 0.1097  2 Al 2.67-2.90
Al1 0.2404 0.9010 0.5887  2 Hg 2.67-2.90, 4 Te 2.84
Al2 0.7405 0.4009 0.5899  2 Hg 2.67-2.90, 4 Te 2.84
Te2 0.9903 0.6511 0.6845  4 Al 2.84
Hg2 0.7385 0.4023 0.1107  2 Al 2.67-2.90

Entry 7:
Here is an optimized crystal structure of AlHgTe2 from Alexandria via LeMat-Bulk. Energies are from PBE.

Values from the calculation:
crystal system = tetragonal
uncorrected energy = -0.0994 Ha/atom
uncorrected formation energy = -48 kJ/mol of formula units

abc: 4.1195 4.1195 6.7715
angles: 90.00 90.00 90.00
Last column: nearest neighbours and their distance in Å.
Atoms (fractional coordinates):
Te1 0.5000 0.5000 0.4021  4 Al 2.97, 1 Hg 3.10
Al1 0.0000 0.0000 0.3198  5 Te 2.72-2.97
Hg1 0.5000 0.5000 0.8599  5 Te 2.94-3.10
Te2 0.0000 0.0000 0.9182  1 Al 2.72, 4 Hg 2.94

Entry 8:
Here is an optimized crystal structure of Al2HgTe from Alexandria via LeMat-Bulk. Energies are from PBE.

Values from the calculation:
crystal system = trigonal
uncorrected energy = -0.1005 Ha/atom
distance to the lowest polymorph of the same formula = 0 meV per atom
uncorrected formation energy = -1 kJ/mol of formula units

abc: 7.5206 7.5206 7.5206
angles: 30.07 30.07 30.07
Last column: nearest neighbours and their distance in Å.
Atoms (fractional coordinates):
Te1 0.7500 0.7500 0.7500  6 Al 2.90
Al1 0.9982 0.9982 0.9982  3 Hg 2.86, 3 Te 2.90
Al2 0.5018 0.5018 0.5018  3 Hg 2.86, 3 Te 2.90
Hg1 0.2500 0.2500 0.2500  6 Al 2.86

Entry 9:
Here is an optimized crystal structure of AlHgTe2 from Alexandria via LeMat-Bulk. Energies are from PBE.

Values from the calculation:
crystal system = tetragonal
uncorrected energy = -0.0875 Ha/atom
uncorrected formation energy = 78 kJ/mol of formula units

abc: 6.7536 6.7536 6.7536
angles: 142.28 142.28 54.41
Last column: nearest neighbours and their distance in Å.
Atoms (fractional coordinates):
Al1 0.2500 0.7500 0.5000  4 Hg 3.09
Hg1 0.7500 0.2500 0.5000  4 Al 3.09
Te1 0.5000 0.5000 0.0000  4 Te 3.09
Te2 0.0000 0.0000 0.0000  4 Te 3.09

Entry 10:
Here is an optimized crystal structure of AlHg2Te from Alexandria via LeMat-Bulk. Energies are from PBE.

Values from the calculation:
crystal system = tetragonal
uncorrected energy = -0.0636 Ha/atom
distance to the lowest polymorph of the same formula = 249 meV per atom
uncorrected formation energy = 54 kJ/mol of formula units

abc: 7.0264 7.0264 7.1396
angles: 60.52 60.52 90.00
Last column: nearest neighbours and their distance in Å.
Atoms (fractional coordinates):
Te1 0.0000 0.0000 0.0000  4 Hg 2.93
Al1 0.2500 0.7500 0.5000  4 Hg 2.67
Hg1 0.8750 0.8448 0.7500  2 Al 2.67, 2 Te 2.93
Te2 0.7500 0.2500 0.5000  4 Hg 2.93
Al2 0.5000 0.5000 0.0000  4 Hg 2.67
Hg2 0.5948 0.1250 0.2500  2 Al 2.67, 2 Te 2.93
Hg3 0.1552 0.6250 0.2500  2 Al 2.67, 2 Te 2.93
Hg4 0.3750 0.4052 0.7500  2 Al 2.67, 2 Te 2.93

Entry 11:
Here is an optimized crystal structure of AlHg3Te from Alexandria via LeMat-Bulk. Energies are from PBE.

Values from the calculation:
crystal system = cubic
uncorrected energy = -0.0497 Ha/atom
distance to the lowest polymorph of the same formula = 0 meV per atom
uncorrected formation energy = 99 kJ/mol of formula units

abc: 5.2805 5.2805 5.2805
angles: 90.00 90.00 90.00
Last column: nearest neighbours and their distance in Å.
Atoms (fractional coordinates):
Te1 0.5000 0.5000 0.5000  12 Hg 3.73
Hg1 0.0000 0.5000 0.0000  2 Al 2.64
Al1 0.0000 0.0000 0.0000  6 Hg 2.64
Hg2 0.0000 0.0000 0.5000  2 Al 2.64
Hg3 0.5000 0.0000 0.0000  2 Al 2.64

Entry 12:
Here is an optimized crystal structure of AlHgTe from Alexandria via LeMat-Bulk. Energies are from PBE.

Values from the calculation:
crystal system = cubic
uncorrected energy = -0.0854 Ha/atom
distance to the lowest polymorph of the same formula = 283 meV per atom
uncorrected formation energy = 21 kJ/mol of formula units

abc: 4.9101 4.9101 4.9101
angles: 60.00 60.00 60.00
Last column: nearest neighbours and their distance in Å.
Atoms (fractional coordinates):
Hg1 0.0000 0.0000 0.0000  4 Al 3.01
Al1 0.7500 0.7500 0.7500  4 Te 3.01, 4 Hg 3.01
Te1 0.5000 0.5000 0.5000  4 Al 3.01

Entry 13:
Here is an optimized crystal structure of Al2HgTe from Alexandria via LeMat-Bulk. Energies are from PBE.

Values from the calculation:
crystal system = orthorhombic
uncorrected energy = -0.0935 Ha/atom
distance to the lowest polymorph of the same formula = 191 meV per atom
uncorrected formation energy = 72 kJ/mol of formula units

abc: 5.5602 5.5602 5.5602
angles: 140.31 112.62 81.13
Last column: nearest neighbours and their distance in Å.
Atoms (fractional coordinates):
Hg1 0.2500 0.7500 0.5000  4 Al 2.81
Al1 0.4963 0.4963 0.0000  2 Hg 2.81, 2 Te 2.86
Te1 0.7500 0.2500 0.5000  4 Al 2.86
Al2 0.0037 0.0037 0.0000  2 Hg 2.81, 2 Te 2.86

Entry 14:
Here is an optimized crystal structure of AlHgTe2 from Alexandria via LeMat-Bulk. Energies are from PBE.

Values from the calculation:
crystal system = tetragonal
uncorrected energy = -0.1013 Ha/atom
uncorrected formation energy = -67 kJ/mol of formula units

abc: 7.1192 7.1192 7.4930
angles: 61.64 61.64 90.00
Last column: nearest neighbours and their distance in Å.
Atoms (fractional coordinates):
Te1 0.8750 0.8232 0.7500  2 Al 2.66
Hg1 0.7500 0.2500 0.5000  4 Te 3.12
Te2 0.3750 0.4268 0.7500  2 Al 2.66
Al1 0.2500 0.7500 0.5000  4 Te 2.66
Te3 0.5732 0.1250 0.2500  2 Al 2.66
Te4 0.1768 0.6250 0.2500  2 Al 2.66
Al2 0.5000 0.5000 0.0000  4 Te 2.66
Hg2 0.0000 0.0000 0.0000  4 Te 3.12

Entry 15:
Here is an optimized crystal structure of AlHg2Te from Alexandria via LeMat-Bulk. Energies are from PBE.

Values from the calculation:
crystal system = orthorhombic
uncorrected energy = -0.0669 Ha/atom
distance to the lowest polymorph of the same formula = 158 meV per atom
uncorrected formation energy = 19 kJ/mol of formula units

abc: 7.2343 7.2343 7.2343
angles: 148.66 145.95 46.95
Last column: nearest neighbours and their distance in Å.
Atoms (fractional coordinates):
Te1 0.7500 0.2500 0.5000  4 Al 2.88
Al1 0.2500 0.7500 0.5000  4 Te 2.88
Hg1 0.4571 0.4571 0.0000  4 Hg 3.10, 2 Al 3.37, 2 Te 3.47
Hg2 0.0429 0.0429 0.0000  4 Hg 3.10, 2 Al 3.37, 2 Te 3.47